No. 1
10
Lattice="3.921 -2.315 0.000 3.921 2.315 0.000 0.000 0.000 4.138" Properties=species:S:1:pos:R:3 comment="B2O3 (meta-GGA SCAN, single point on PBEsol structure)" formation_energy_uncorrected_mev_per_atom=-2583 total_energy_ev_per_atom=-9.29 dos_ef_per_ev_cell=0.00 pbc="T T T"
B 1.296 0.735 0.000
B 1.296 -0.735 2.069
B 6.545 0.735 0.000
B 6.545 -0.735 2.069
O 1.647 0.602 2.687
O 3.921 1.188 2.345
O 1.647 -0.602 0.618
O 6.195 0.602 2.687
O 3.921 -1.188 0.276
O 6.195 -0.602 0.618

***

No. 2
5
Lattice="4.334 0.000 0.000 0.000 4.334 0.000 0.000 0.000 4.856" Properties=species:S:1:pos:R:3 comment="NaAlNi2Ge (meta-GGA SCAN, single point on PBEsol structure)" e_form_ev_per_atom=0.808 total_energy_ev_per_atom=-11.87 dos_ef_per_ev_cell=3.22 pbc="T T T"
Na 0.000 0.000 0.000
Al 0.000 0.000 2.428
Ni 0.000 2.167 2.428
Ni 2.167 0.000 2.428
Ge 2.167 2.167 0.000

***

No. 3
68
Lattice="8.731 0.000 0.000 0.000 14.937 0.000 -7.438 0.000 9.018" Properties=species:S:1:pos:R:3 comment="HgH9C3SI3 (meta-GGA SCAN, single point on PBEsol structure)" total_energy_ev_per_atom=-14.89 dos_ef_per_ev_cell=0.00 pbc="T T T"
Hg -1.851 0.620 3.964
Hg -5.570 6.849 8.473
Hg 6.863 8.089 0.545
Hg 3.144 14.317 5.054
H -5.300 10.573 6.493
H -1.582 11.833 1.984
H -6.480 1.964 8.292
H -2.761 5.505 3.783
H -5.784 3.574 8.789
H -2.065 3.895 4.280
H 0.515 3.714 2.449
H -3.203 3.755 6.958
H 0.556 8.830 3.388
H -3.163 13.576 7.897
H 2.708 0.888 1.173
H -1.011 6.580 5.682
H 0.426 3.323 4.224
H -3.293 4.146 8.733
H -0.408 10.473 5.434
H 3.310 11.933 0.925
H 1.810 10.089 3.058
H -1.909 12.317 7.567
H 3.203 2.621 1.451
H -0.516 4.848 5.960
H -2.017 3.005 8.093
H 1.702 4.464 3.584
H 4.586 10.792 0.285
H 0.867 11.614 4.794
H 2.304 8.357 3.336
H -1.415 14.049 7.845
H 4.456 1.361 1.121
H 0.737 6.108 5.630
H 4.497 11.182 2.060
H 0.778 11.224 6.569
H 3.358 11.043 4.738
H 7.077 11.364 0.229
H 4.054 9.433 5.235
H 7.773 12.973 0.726
H 2.875 3.105 7.034
H 6.594 4.364 2.525
C -5.731 2.742 8.067
C -2.012 4.727 3.558
C -3.049 3.375 7.981
C 0.670 4.094 3.472
C 3.423 1.687 0.908
C -0.296 5.781 5.417
C 1.590 9.156 3.601
C -2.129 13.250 8.110
C 0.624 10.843 5.546
C 4.343 11.563 1.037
C 3.306 10.211 5.460
C 7.025 12.195 0.951
S -4.129 1.970 8.168
S -0.410 5.499 3.659
S 1.704 9.439 5.359
S 5.423 12.968 0.850
I -2.337 8.661 3.180
I -6.056 13.746 7.689
I -6.643 9.446 8.991
I -2.924 12.960 4.482
I -2.105 8.843 7.422
I 1.614 13.563 2.913
I -0.320 1.375 6.105
I 3.398 6.094 1.596
I 4.217 1.977 4.536
I 7.936 5.491 0.027
I 7.350 1.192 1.329
I 3.631 6.277 5.838

***

No. 4
4
Lattice="-1.690 2.345 4.593 1.690 -2.345 4.593 1.690 2.345 -4.593" Properties=species:S:1:pos:R:3 comment="InW (meta-GGA SCAN, single point on PBEsol structure)" e_form_ev_per_atom=0.637 e_above_lowest_polymorph_ev_per_atom=0.177 total_energy_ev_per_atom=-50.90 dos_ef_per_ev_cell=2.63 pbc="T T T"
In 0.000 1.172 1.057
In 1.690 1.172 3.536
W 1.690 1.172 -1.337
W 0.000 1.172 5.930

***

No. 5
36
Lattice="7.023 0.000 0.000 3.175 6.483 0.000 0.045 -0.014 7.681" Properties=species:S:1:pos:R:3 comment="Li2VPO5 (meta-GGA SCAN, single point on PBEsol structure)" formation_energy_uncorrected_mev_per_atom=-2569 e_above_lowest_polymorph_ev_per_atom=0.006 total_energy_ev_per_atom=-9.66 dos_ef_per_ev_cell=0.62 pbc="T T T"
Li 0.000 0.000 0.000
Li 1.610 3.234 3.840
Li 2.196 0.802 4.293
Li 4.292 4.178 0.398
Li 3.879 2.688 4.244
Li 6.364 3.781 3.437
Li 5.951 2.291 7.282
Li 8.047 5.667 3.388
V 0.861 1.612 1.887
V 5.923 4.922 5.818
V 4.319 1.547 1.863
V 9.382 4.857 5.794
P 4.188 5.015 2.940
P 2.695 1.740 6.801
P 7.547 4.729 0.880
P 6.054 1.453 4.741
O 2.869 4.856 3.738
O 1.394 1.618 7.618
O 4.061 5.975 1.748
O 2.528 2.775 5.640
O 4.138 4.967 6.289
O 2.610 1.825 2.725
O 5.335 5.459 3.878
O 3.824 2.239 0.023
O 3.017 0.417 6.092
O 4.624 3.616 2.413
O 5.619 2.853 5.268
O 7.226 6.052 1.589
O 6.419 4.230 7.658
O 4.908 1.010 3.803
O 7.633 4.643 4.955
O 6.105 1.502 1.392
O 7.714 3.694 2.041
O 6.182 0.494 5.933
O 8.849 4.851 0.062
O 7.374 1.613 3.943

***

No. 6
5
Lattice="3.543 0.000 0.000 0.000 3.543 0.000 0.000 0.000 6.145" Properties=species:S:1:pos:R:3 comment="TeRuSN2 (meta-GGA SCAN, single point on PBEsol structure)" formation_energy_uncorrected_mev_per_atom=1780 total_energy_ev_per_atom=-18.28 dos_ef_per_ev_cell=2.92 pbc="T T T"
Te 0.000 0.000 0.000
Ru 1.772 1.772 0.000
S 0.000 0.000 3.073
N 0.000 1.772 3.073
N 1.772 0.000 3.073

***

No. 7
5
Lattice="5.630 0.000 0.000 0.000 5.630 0.000 0.000 0.000 4.142" Properties=species:S:1:pos:R:3 comment="Na2ScBeCo (meta-GGA SCAN, single point on PBEsol structure)" e_form_ev_per_atom=1.456 total_energy_ev_per_atom=-7.41 dos_ef_per_ev_cell=3.53 pbc="T T T"
Na 0.000 2.815 0.000
Na 2.815 0.000 0.000
Sc 0.000 0.000 0.000
Be 2.815 2.815 2.071
Co 0.000 0.000 2.071

***

No. 8
5
Lattice="6.191 0.000 0.000 0.000 6.191 0.000 0.000 0.000 4.573" Properties=species:S:1:pos:R:3 comment="Rb2CdCoPd (meta-GGA SCAN, single point on PBEsol structure)" e_form_ev_per_atom=0.545 total_energy_ev_per_atom=-23.85 dos_ef_per_ev_cell=2.64 pbc="T T T"
Rb 0.000 3.096 0.000
Rb 3.096 0.000 0.000
Cd 0.000 0.000 2.287
Co 3.096 3.096 0.000
Pd 3.096 3.096 2.287